Entry from Alexandria via LeMat-Bulk: a relaxed structure of Y2Tl (GGA-PBE).

Properties
- calculated volume (Å³ per atom) = 31.44
- D(E_F) (states/eV/cell) = 7.796
- space group = Imma, No. 74
- crystal system = orthorhombic
- E_form (meV/atom) = 6

```
Y2Tl
1.0
-1.760 2.206 12.144
1.760 -2.206 12.144
1.760 2.206 -12.144
Y Tl
4 2
Cartesian
1.760 -1.103 7.593
1.760 -1.103 10.863
0.000 3.309 4.551
0.000 3.309 1.281
1.760 1.103 2.822
0.000 1.103 9.322
```

Entry from Alexandria via LeMat-Bulk: a relaxed structure of YTl6 (GGA-PBE).

Properties
- calculated volume (Å³ per atom) = 41.86
- D(E_F) (states/eV/cell) = 6.158
- space group = Im-3m, No. 229
- crystal system = cubic
- E_form (meV/atom) = 576

```
YTl6
1.0
7.247 0.000 0.000
-2.416 6.833 0.000
-2.416 -3.416 5.917
Tl Y
6 1
Cartesian
3.624 0.000 2.959
-1.208 0.854 4.438
1.208 4.270 1.479
1.208 -0.854 4.438
3.624 2.562 1.479
-1.208 3.416 2.959
0.000 0.000 0.000
```

Entry from Alexandria via LeMat-Bulk: a relaxed structure of YTl7 (GGA-PBE).

Properties
- calculated volume (Å³ per atom) = 28.93
- D(E_F) (states/eV/cell) = 2.717
- space group = Fm-3m, No. 225
- crystal system = cubic
- E_form (meV/atom) = -88

```
YTl7
1.0
6.891 0.000 0.000
3.446 5.968 0.000
3.446 1.989 5.627
Tl Y
7 1
Cartesian
5.168 2.984 0.000
3.446 0.000 0.000
6.891 3.979 2.813
1.723 2.984 0.000
3.446 3.979 2.813
1.723 0.995 2.813
5.168 0.995 2.813
0.000 0.000 0.000
```

Entry from Alexandria via LeMat-Bulk: a relaxed structure of Y2Tl (GGA-PBE).

Properties
- calculated volume (Å³ per atom) = 29.15
- D(E_F) (states/eV/cell) = 7.007
- space group = Cmcm, No. 63
- crystal system = orthorhombic
- E_form (meV/atom) = -263

```
Y2Tl
1.0
-1.055 1.365 8.345
3.924 -3.650 -6.625
3.331 4.006 -0.234
Y Tl
4 2
Cartesian
1.116 1.019 4.265
3.541 2.256 1.864
5.085 0.701 -2.779
2.660 -0.537 -0.378
4.336 -2.225 -5.418
1.865 3.945 6.904
```